K3Sm2BiTe6 after structural relaxation, computed with PBE.

a b c (Å): 7.945 13.762 8.675
angles (deg): 90.00 107.76 90.00
Space group C2/m (No. 12)
One atom of each set of equivalent atoms:
K 0.000 0.000 0.000 (multiplicity 2)
K 0.000 0.334 0.000 (multiplicity 4)
Sm 0.000 0.167 0.500 (multiplicity 4)
Bi 0.000 0.500 0.500 (multiplicity 2)
Te 0.237 0.000 0.712 (multiplicity 4)
Te 0.238 0.333 0.712 (multiplicity 8)

- Formation energy without anion corrections: -13.74 eV/f.u.

---

TiBeWSe2 after structural relaxation, computed with PBE.

a b c (Å): 4.862 4.862 4.371
angles (deg): 90.00 90.00 90.00
Space group P4/mmm (No. 123)
One atom of each set of equivalent atoms:
Ti 0.000 0.000 0.000 (multiplicity 1)
Be 0.500 0.500 0.000 (multiplicity 1)
W 0.500 0.500 0.500 (multiplicity 1)
Se 0.000 0.500 0.500 (multiplicity 2)

- Formation energy without anion corrections: 3.90 eV/f.u.

---

LaTb2Sc3 after structural relaxation, computed with PBE.

a b c (Å): 6.7084 6.7084 9.3120
angles (deg): 90.00 90.00 120.00
Space group P-3m1 (No. 164)
One atom of each set of equivalent atoms:
La 0.3333 0.6667 0.4548 (multiplicity 2)
Tb 0.0000 0.0000 0.0000 (multiplicity 1)
Tb 0.0000 0.0000 0.5000 (multiplicity 1)
Tb 0.3333 0.6667 0.0861 (multiplicity 2)
Sc 0.1848 0.3697 0.7702 (multiplicity 6)

- DFT formation energy: 0.273 eV/atom
- Energy above the lowest structure with this stoichiometry: 0.211 eV/atom